A plane-wave DFT calculation with PBE-GGA was carried out for a relaxed structure of Ac6Pt2Rh3S.

Lattice parameters (Å, degrees): 9.7545 9.7545 8.7586 103.47 103.47 25.66
Positions (direct):
Ac1 0.0028 0.0028 0.2408
Ac2 0.3305 0.3305 0.4222
Ac3 0.3333 0.3333 0.9142
Ac4 0.6667 0.6667 0.0858
Ac5 0.6695 0.6695 0.5778
Ac6 0.9972 0.9972 0.7592
Pt1 0.1655 0.1655 0.8298
Pt2 0.8345 0.8345 0.1702
Rh1 0.1632 0.1632 0.3310
Rh2 0.5000 0.5000 0.0000
Rh3 0.8368 0.8368 0.6690
S1 0.5000 0.5000 0.5000

Values from the calculation:
Formation energy (no corrections) (eV/atom): -1.020
Magnetization (μB per cell): 0.0
Symmetry: C2/m, No. 12